This record from Alexandria describes BeAg2Mo after structural relaxation. The functional is PBE-GGA.

Computed properties:
**D(E_F)**: 0.654 states/eV per atom
**Electronic total energy**: -0.166 hartree per atom

Cell: 5.391 9.782 2.614 Å, 90.00 114.63 90.00°
Space group C2/m (No. 12)
Inequivalent atoms, fractional coordinates:
Be  0.000  0.000  0.000 [2 per cell]
Ag  0.250  0.250  0.500 [4 per cell]
Mo  0.000  0.500  0.000 [2 per cell]


This record from Alexandria describes Ac5Sn4Ru after structural relaxation. The functional is PBE-GGA.

Computed properties:
**D(E_F)**: 0.783 states/eV per atom
**Electronic total energy**: -0.182 hartree per atom

Cell: 10.538 10.538 6.332 Å, 90.00 90.00 90.00°
Space group I4/m (No. 87)
Inequivalent atoms, fractional coordinates:
Ac  0.000  0.000  0.000 [2 per cell]
Ac  0.123  0.242  0.500 [8 per cell]
Sn  0.061  0.355  0.000 [8 per cell]
Ru  0.000  0.000  0.500 [2 per cell]


This record from Alexandria describes Al2Ni2Pb after structural relaxation. The functional is PBE-GGA.

Computed properties:
**D(E_F)**: 0.530 states/eV per atom
**Electronic total energy**: -0.172 hartree per atom

Cell: 7.302 7.302 2.946 Å, 90.00 90.00 90.00°
Space group P4/mbm (No. 127)
Inequivalent atoms, fractional coordinates:
Al  0.144  0.356  0.000 [4 per cell]
Ni  0.140  0.640  0.500 [4 per cell]
Pb  0.000  0.000  0.500 [2 per cell]


This record from Alexandria describes AcNd2 after structural relaxation. The functional is PBE-GGA.

Computed properties:
**D(E_F)**: 1.860 states/eV per atom
**Electronic total energy**: -0.160 hartree per atom
**Energy relative to the lowest polymorph listed for this composition**: 47 kJ/mol of formula units

Cell: 9.749 9.749 9.749 Å, 90.00 90.00 90.00°
Space group Fd-3m (No. 227, origin choice 2)
Inequivalent atoms, fractional coordinates:
Ac  0.125  0.125  0.125 [8 per cell]
Nd  0.000  0.000  0.500 [16 per cell]


Q: D(E_F) of number 2 (Ac5Sn4Ru)?
A: 0.783 states/eV per atom


Q: Which of these has the lowest electronic total energy?
A: Ac5Sn4Ru


Q: What is the D(E_F) in the second record?
A: 0.783 states/eV per atom


Q: What is the D(E_F) in the fourth record?
A: 1.860 states/eV per atom